Density functional theory data (PBE-GGA) for BaTcBSe after structural relaxation.

It has space group Cm (No. 8), with a = 12.577 Å, b = 4.174 Å, c = 3.660 Å, α = 90.00°, β = 106.73° and γ = 90.00°. The distinct sites, in fractional coordinates, are Ba at (0.000, 0.000, 0.000), Tc at (0.268, 0.000, 0.764), B at (0.342, 0.000, 0.338) and Se at (0.162, 0.500, 0.660).

Its density of states at the Fermi level is 4.2 states/eV/cell. For the energy relative to the elements, uncorrected, the calculation gives -11.9 kJ per mole of atoms. The energy relative to the lowest polymorph listed for this composition comes out at 0.00 eV/f.u.



Density functional theory data (PBE-GGA) for BaTcBSe after structural relaxation.

It has space group Cm (No. 8), with a = 8.273 Å, b = 3.844 Å, c = 6.446 Å, α = 90.00°, β = 119.13° and γ = 90.00°. The distinct sites, in fractional coordinates, are Ba at (0.000, 0.000, 0.000), Tc at (0.071, 0.500, 0.520), B at (0.143, 0.000, 0.646) and Se at (0.322, 0.500, 0.409).

Its density of states at the Fermi level is 5.4 states/eV/cell. For the energy relative to the elements, uncorrected, the calculation gives -10.0 kJ per mole of atoms. The energy relative to the lowest polymorph listed for this composition comes out at 0.08 eV/f.u.



Density functional theory data (PBE-GGA) for BaTcBSe after structural relaxation.

It has space group Pmm2 (No. 25), with a = 3.751 Å, b = 4.295 Å, c = 6.351 Å, α = 90.00°, β = 90.00° and γ = 90.00°. The distinct sites, in fractional coordinates, are Ba at (0.000, 0.000, 0.000), Tc at (0.000, 0.500, 0.562), B at (0.500, 0.500, 0.694) and Se at (0.500, 0.500, 0.261).

Its density of states at the Fermi level is 1.5 states/eV/cell. For the energy relative to the elements, uncorrected, the calculation gives 9.4 kJ per mole of atoms. The energy relative to the lowest polymorph listed for this composition comes out at 0.89 eV/f.u.



Density functional theory data (PBE-GGA) for BaTcBSe after structural relaxation.

It has space group R3m (No. 160, hexagonal axes), with a = 3.6256 Å, b = 3.6256 Å, c = 21.5785 Å, α = 90.00°, β = 90.00° and γ = 120.00°. The distinct sites, in fractional coordinates, are Ba at (0.0000, 0.0000, 0.0000), Tc at (0.0000, 0.0000, 0.1969), B at (0.0000, 0.0000, 0.5657) and Se at (0.0000, 0.0000, 0.4621).

Its density of states at the Fermi level is 9.2 states/eV/cell. For the energy relative to the elements, uncorrected, the calculation gives -6.2 kJ per mole of atoms. The energy relative to the lowest polymorph listed for this composition comes out at 0.24 eV/f.u.



Density functional theory data (PBE-GGA) for BaYBSe4 after structural relaxation.

It has space group P2_1/m (No. 11), with a = 6.521 Å, b = 6.745 Å, c = 8.677 Å, α = 90.00°, β = 107.88° and γ = 90.00°. The distinct sites, in fractional coordinates, are Ba at (0.224, 0.250, 0.429), Y at (0.267, 0.250, 0.946), B at (0.288, 0.750, 0.182), Se at (0.101, 0.750, 0.940), Se at (0.102, 0.750, 0.343) and Se at (0.492, 0.506, 0.224).

For the energy relative to the elements, uncorrected, the calculation gives -126.2 kJ per mole of atoms.



Density functional theory data (PBE-GGA) for Ba2SiB after structural relaxation.

It has space group Fm-3m (No. 225), with a = 7.822 Å, b = 7.822 Å, c = 7.822 Å, α = 90.00°, β = 90.00° and γ = 90.00°. The distinct sites, in fractional coordinates, are Ba at (0.250, 0.250, 0.250), Si at (0.000, 0.000, 0.000) and B at (0.000, 0.000, 0.500).

Its density of states at the Fermi level is 11.0 states/eV/cell. For the energy relative to the elements, uncorrected, the calculation gives 54.7 kJ per mole of atoms. The energy relative to the lowest polymorph listed for this composition comes out at 0.00 eV/f.u.



Among the records above, which one has the lowest energy relative to the elements, uncorrected?
BaYBSe4



energy relative to the elements, uncorrected of number 1 (BaTcBSe)?
-11.9 kJ per mole of atoms



Look up the energy relative to the elements, uncorrected of the fifth one.
-126.2 kJ per mole of atoms